## Ta2NiP (GGA-PBE)

Data for Ta2NiP after structural relaxation.

It has space group P4mm (No. 99), with a = 3.366 Å, b = 3.366 Å, c = 5.353 Å, α = 90.00°, β = 90.00° and γ = 90.00°. The inequivalent atoms are Ta at (0.000, 0.000, 0.000), Ta at (0.500, 0.500, 0.318), Ni at (0.000, 0.000, 0.523) and P at (0.500, 0.500, 0.795).

The calculation puts the electronic total energy at -9.0250 eV per atom. The value obtained for the formation energy is -0.301 eV/atom.



## Pr2HfNpN4 (GGA-PBE)

Data for Pr2HfNpN4 after structural relaxation.

It has space group P2/m (No. 10), with a = 5.933 Å, b = 3.445 Å, c = 6.143 Å, α = 90.00°, β = 108.33° and γ = 90.00°. The inequivalent atoms are Pr at (0.000, 0.000, 0.000), Pr at (0.500, 0.500, 0.000), Hf at (0.000, 0.500, 0.500), Np at (0.500, 0.000, 0.500), N at (0.232, 0.000, 0.702) and N at (0.257, 0.500, 0.295).

The calculation puts the electronic total energy at -9.6246 eV per atom. For the uncorrected formation energy, the calculation gives -1405.2 meV/atom.



## YPO3 (GGA-PBE)

Data for YPO3 after structural relaxation.

It has space group Pm-3m (No. 221), with a = 4.272 Å, b = 4.272 Å, c = 4.272 Å, α = 90.00°, β = 90.00° and γ = 90.00°. The inequivalent atoms are Y at (0.000, 0.000, 0.000), P at (0.500, 0.500, 0.500) and O at (0.000, 0.000, 0.500).

The calculation puts the electronic total energy at -6.0368 eV per atom. For the uncorrected formation energy, the calculation gives -687.1 meV/atom.



## VAs (GGA-PBE)

Data for VAs after structural relaxation.

It has space group Cmcm (No. 63), with a = 3.326 Å, b = 8.913 Å, c = 11.992 Å, α = 90.00°, β = 90.00° and γ = 90.00°. The inequivalent atoms are V at (0.000, 0.071, 0.111), V at (0.000, 0.380, 0.250), As at (0.000, 0.328, 0.750) and As at (0.000, 0.359, 0.047).

The calculation puts the electronic total energy at -7.3547 eV per atom. The value obtained for the formation energy is -0.471 eV/atom.